Crystalline Tb4Ga5Ge2 at its relaxed geometry. Source: the Alexandria database, functional PBE-GGA.

Summary:
Crystal system: monoclinic
Formation energy: -0.640 eV per atom
Total moment: 0.0 Bohr magnetons per cell

The structure in CIF format:
```
data_Tb4Ga5Ge2
_cell_length_a 7.031
_cell_length_b 4.286
_cell_length_c 8.014
_cell_angle_alpha 90.00
_cell_angle_beta 91.14
_cell_angle_gamma 90.00
_symmetry_space_group_name_H-M 'P 1 2/m 1'
_symmetry_Int_Tables_number 10
loop_
_symmetry_equiv_pos_as_xyz
'x,y,z'
'-x,-y,-z'
'-x,y,-z'
'x,-y,z'
loop_
_atom_site_label
_atom_site_type_symbol
_atom_site_fract_x
_atom_site_fract_y
_atom_site_fract_z
Tb1 Tb 0.223 0.000 0.366
Tb2 Tb 0.244 0.000 0.892
Ga1 Ga 0.130 0.500 0.619
Ga2 Ga 0.456 0.500 0.161
Ga3 Ga 0.500 0.500 0.500
Ge1 Ge 0.088 0.500 0.134
```